1.
VASP calculation (PBE) on a geometry-optimized LiCrCl4 structure.

Output
ΔE to the lowest computed polymorph = 37.0 meV per atom
energy relative to the elements, uncorrected = -745 kJ/mol of formula units

abc: 8.697 8.697 6.120
angles: 103.14 103.14 131.31
Atoms (fractional coordinates):
Li 0.084 0.916 0.750
Li 0.916 0.084 0.250
Cr 0.437 0.563 0.250
Cr 0.563 0.437 0.750
Cl 0.110 0.436 0.247
Cl 0.228 0.321 0.783
Cl 0.321 0.228 0.283
Cl 0.436 0.110 0.747
Cl 0.564 0.890 0.253
Cl 0.679 0.772 0.717
Cl 0.772 0.679 0.217
Cl 0.890 0.564 0.753

2.
VASP calculation (PBE) on a geometry-optimized GeRuRh structure.

Output
DFT formation energy = -238 meV/atom
DOS at the Fermi energy = 0.651 states/eV/atom
ΔE to the lowest computed polymorph = 0.0 meV per atom

abc: 4.606 4.606 5.511
angles: 101.61 101.61 50.03
Atoms (fractional coordinates):
Ge 0.000 0.000 0.000
Ge 0.717 0.717 0.410
Ru 0.039 0.039 0.571
Ru 0.347 0.347 0.688
Rh 0.412 0.412 0.221
Rh 0.684 0.684 0.942

3.
VASP calculation (PBE) on a geometry-optimized Cr2HgOs structure.

Output
DFT formation energy = 417 meV/atom
DOS at the Fermi energy = 0.780 states/eV/atom

abc: 2.918 2.918 7.221
angles: 90.00 90.00 90.00
Atoms (fractional coordinates):
Cr 0.000 0.000 0.000
Cr 0.500 0.500 0.208
Hg 0.000 0.000 0.497
Os 0.500 0.500 0.804

4.
VASP calculation (PBE) on a geometry-optimized NdTm2N structure.

Output
DOS at the Fermi energy = 1.178 states/eV/atom
ΔE to the lowest computed polymorph = 0.0 meV per atom
energy relative to the elements, uncorrected = -283 kJ/mol of formula units

abc: 9.722 9.722 9.722
angles: 20.17 20.17 20.17
Atoms (fractional coordinates):
Nd 0.000 0.000 0.000
Tm 0.121 0.121 0.121
Tm 0.879 0.879 0.879
N 0.500 0.500 0.500